1.
Below is a relaxed Al2GaS4 crystal, with properties calculated at the PBE level.

## Properties
For the raw total energy, the calculation gives -4.604 eV/atom. Its crystal system is tetragonal. Its symmetry is I4/m. Its density of states at the Fermi level is 0.6852 states/eV/atom. For the formation energy without anion corrections, the calculation gives -743 meV/atom.

a = 6.028 Å, b = 6.028 Å, c = 6.028 Å
α = 104.54°, β = 104.54°, γ = 119.87°
Fractional coordinates of all 7 atoms:
Al 0.250 0.750 0.500
Al 0.750 0.250 0.500
Ga 0.000 0.000 0.000
S 0.152 0.325 0.477
S 0.325 0.848 0.173
S 0.675 0.152 0.827
S 0.848 0.675 0.523



2.
Below is a relaxed AlGaSbS crystal, with properties calculated at the PBE level.

## Properties
For the raw total energy, the calculation gives -4.107 eV/atom. Its crystal system is monoclinic. Its symmetry is Cm. Its density of states at the Fermi level is 0.2606 states/eV/atom. For the formation energy without anion corrections, the calculation gives -352 meV/atom.

a = 3.636 Å, b = 3.636 Å, c = 9.639 Å
α = 90.07°, β = 90.07°, γ = 59.97°
Fractional coordinates of all 4 atoms:
Al 0.000 0.000 0.000
Ga 0.999 0.999 0.741
Sb 0.332 0.332 0.558
S 0.667 0.667 0.107



3.
Below is a relaxed ScAl2GaS6 crystal, with properties calculated at the PBE level.

## Properties
For the raw total energy, the calculation gives -5.245 eV/atom. Its crystal system is monoclinic. Its symmetry is C2/c. For the formation energy without anion corrections, the calculation gives -1085 meV/atom.

a = 8.184 Å, b = 8.184 Å, c = 6.318 Å
α = 98.56°, β = 98.56°, γ = 86.01°
Fractional coordinates of all 20 atoms:
Sc 0.092 0.908 0.750
Sc 0.908 0.092 0.250
Al 0.225 0.403 0.706
Al 0.403 0.225 0.206
Al 0.597 0.775 0.794
Al 0.775 0.597 0.294
Ga 0.277 0.723 0.250
Ga 0.723 0.277 0.750
S 0.025 0.209 0.638
S 0.127 0.632 0.903
S 0.209 0.025 0.138
S 0.282 0.450 0.381
S 0.368 0.873 0.597
S 0.450 0.282 0.881
S 0.550 0.718 0.119
S 0.632 0.127 0.403
S 0.718 0.550 0.619
S 0.791 0.975 0.862
S 0.873 0.368 0.097
S 0.975 0.791 0.362



4.
Below is a relaxed AlGaSeS crystal, with properties calculated at the PBE level.

## Properties
For the raw total energy, the calculation gives -4.319 eV/atom. Its crystal system is trigonal. Its symmetry is P3m1. Its density of states at the Fermi level is 0.0000 states/eV/atom. For the formation energy without anion corrections, the calculation gives -724 meV/atom.

a = 3.711 Å, b = 3.711 Å, c = 8.808 Å
α = 90.00°, β = 90.00°, γ = 120.00°
Fractional coordinates of all 4 atoms:
Al 0.000 0.000 0.000
Ga 0.000 0.000 0.716
Se 0.333 0.667 0.577
S 0.667 0.333 0.112